No. 1
This record from Alexandria describes a relaxed Hf2SnO2 crystal. The functional is PBE.

It has space group I4/mmm (No. 139), with a = 3.647 Å, b = 3.647 Å, c = 11.799 Å, α = 90.00°, β = 90.00° and γ = 90.00°. The asymmetric unit holds Hf at (0.000, 0.000, 0.151), Sn at (0.000, 0.000, 0.500) and O at (0.000, 0.500, 0.250).

The uncorrected formation energy is -2133 meV per atom.

=====

No. 2
This record from Alexandria describes a relaxed AcDy4S5 crystal. The functional is PBE.

It has space group Immm (No. 71), with a = 3.955 Å, b = 5.679 Å, c = 20.054 Å, α = 90.00°, β = 90.00° and γ = 90.00°. The asymmetric unit holds Ac at (0.000, 0.000, 0.000), Dy at (0.000, 0.000, 0.205), Dy at (0.000, 0.000, 0.399), S at (0.000, 0.500, 0.000), S at (0.000, 0.500, 0.198) and S at (0.000, 0.500, 0.389).

The uncorrected formation energy is -1946 meV per atom.

=====

No. 3
This record from Alexandria describes a relaxed La2Al3CdAu4 crystal. The functional is PBE.

It has space group P-4m2 (No. 115), with a = 4.526 Å, b = 4.526 Å, c = 10.721 Å, α = 90.00°, β = 90.00° and γ = 90.00°. The asymmetric unit holds La at (0.000, 0.500, 0.244), Al at (0.000, 0.500, 0.878), Al at (0.500, 0.500, 0.500), Cd at (0.000, 0.000, 0.500), Au at (0.000, 0.000, 0.000), Au at (0.000, 0.500, 0.645) and Au at (0.500, 0.500, 0.000).

Its formation energy is -679 meV/atom.

=====

No. 4
This record from Alexandria describes a relaxed Si2Pb2I crystal. The functional is PBE.

It has space group I4/mmm (No. 139), with a = 3.840 Å, b = 3.840 Å, c = 18.898 Å, α = 90.00°, β = 90.00° and γ = 90.00°. The asymmetric unit holds Si at (0.000, 0.500, 0.250), Pb at (0.000, 0.000, 0.127) and I at (0.000, 0.000, 0.500).

The uncorrected formation energy is 104 meV per atom.

=====

No. 5
This record from Alexandria describes a relaxed Sr2BeP crystal. The functional is PBE.

It has space group F-43m (No. 216), with a = 7.472 Å, b = 7.472 Å, c = 7.472 Å, α = 90.00°, β = 90.00° and γ = 90.00°. The asymmetric unit holds Sr at (0.000, 0.000, 0.000), Sr at (0.250, 0.250, 0.250), Be at (0.000, 0.000, 0.500) and P at (0.250, 0.250, 0.750).

Its formation energy is 428 meV/atom.

=====

No. 6
This record from Alexandria describes a relaxed CsLiPb2Cl6 crystal. The functional is PBE.

It has space group P1 (No. 1), with a = 7.595 Å, b = 7.606 Å, c = 7.972 Å, α = 64.66°, β = 63.86° and γ = 61.08°. The asymmetric unit holds Cs at (0.000, 0.000, 0.000), Li at (0.651, 0.616, 0.200), Pb at (0.216, 0.270, 0.258), Pb at (0.716, 0.782, 0.704), Cl at (0.016, 0.962, 0.454), Cl at (0.384, 0.117, 0.572), Cl at (0.463, 0.536, 0.072), Cl at (0.541, 0.983, 0.027), Cl at (0.805, 0.562, 0.439) and Cl at (0.993, 0.493, 0.965).

The uncorrected formation energy is -1442 meV per atom.

=====

What did the second record say?
This record from Alexandria describes a relaxed AcDy4S5 crystal. The functional is PBE.

It has space group Immm (No. 71), with a = 3.955 Å, b = 5.679 Å, c = 20.054 Å, α = 90.00°, β = 90.00° and γ = 90.00°. The asymmetric unit holds Ac at (0.000, 0.000, 0.000), Dy at (0.000, 0.000, 0.205), Dy at (0.000, 0.000, 0.399), S at (0.000, 0.500, 0.000), S at (0.000, 0.500, 0.198) and S at (0.000, 0.500, 0.389).

The uncorrected formation energy is -1946 meV per atom.